Material: ScAlRh3
Method: DFT, GGA-PBE
State: optimized geometry

The structure belongs to space group Pm-3m (No. 221); the cell edges are 4.444, 4.444 and 4.444 Å and the angles 90.00°, 90.00° and 90.00°. The distinct sites, in fractional coordinates, are Sc at (0.000, 0.000, 0.000), Al at (0.500, 0.500, 0.500) and Rh at (0.000, 0.500, 0.500).

The energy comes out at -33.0 eV/cell. The calculation puts the formation enthalpy at 0 K at -0.18 eV per atom.

Material: VCu2BiI
Method: DFT, GGA-PBE
State: optimized geometry

The structure belongs to space group P4/mmm (No. 123); the cell edges are 4.891, 4.891 and 5.370 Å and the angles 90.00°, 90.00° and 90.00°. The distinct sites, in fractional coordinates, are V at (0.000, 0.000, 0.000), Cu at (0.000, 0.500, 0.000), Bi at (0.000, 0.000, 0.500) and I at (0.500, 0.500, 0.500).

The energy comes out at -17.9 eV/cell. The calculation puts the formation energy from raw total energies at 93.0 kJ per mole of atoms.

Material: La2Pm3Ga4
Method: DFT, GGA-PBE
State: optimized geometry

The structure belongs to space group Cmce (No. 64); the cell edges are 7.188, 15.926 and 8.867 Å and the angles 90.00°, 90.00° and 90.00°. The distinct sites, in fractional coordinates, are La at (0.000, 0.106, 0.070), Pm at (0.000, 0.000, 0.500), Pm at (0.250, 0.220, 0.750), Ga at (0.000, 0.188, 0.468) and Ga at (0.250, 0.031, 0.750).

The energy comes out at -159.9 eV/cell. The calculation puts the formation enthalpy at 0 K at -0.42 eV per atom.

Material: YAl4Te
Method: DFT, GGA-PBE
State: optimized geometry

The structure belongs to space group F-43m (No. 216); the cell edges are 7.895, 7.895 and 7.895 Å and the angles 90.00°, 90.00° and 90.00°. The distinct sites, in fractional coordinates, are Y at (0.000, 0.000, 0.000), Al at (0.127, 0.127, 0.627) and Te at (0.250, 0.250, 0.250).

The energy comes out at -103.7 eV/cell. The calculation puts the formation energy from raw total energies at -21.9 kJ per mole of atoms.

Material: LiY2Re
Method: DFT, GGA-PBE
State: optimized geometry

The structure belongs to space group R-3m (No. 166, hexagonal axes); the cell edges are 3.4110, 3.4110 and 29.8904 Å and the angles 90.00°, 90.00° and 120.00°. The distinct sites, in fractional coordinates, are Li at (0.0000, 0.0000, 0.0000), Y at (0.0000, 0.0000, 0.2364) and Re at (0.0000, 0.0000, 0.5000).

The energy comes out at -77.6 eV/cell. The calculation puts the formation enthalpy at 0 K at 0.36 eV per atom.

Material: Fe2P2Pd
Method: DFT, GGA-PBE
State: optimized geometry

The structure belongs to space group P4/mbm (No. 127); the cell edges are 6.585, 6.585 and 2.677 Å and the angles 90.00°, 90.00° and 90.00°. The distinct sites, in fractional coordinates, are Fe at (0.140, 0.360, 0.000), P at (0.151, 0.651, 0.500) and Pd at (0.000, 0.000, 0.500).

The energy comes out at -69.2 eV/cell. The calculation puts the formation enthalpy at 0 K at -0.33 eV per atom.

Material: Li4AcCd12
Method: DFT, GGA-PBE
State: optimized geometry

The structure belongs to space group Im-3 (No. 204); the cell edges are 9.486, 9.486 and 9.486 Å and the angles 90.00°, 90.00° and 90.00°. The distinct sites, in fractional coordinates, are Li at (0.250, 0.250, 0.250), Ac at (0.000, 0.000, 0.000) and Cd at (0.000, 0.159, 0.347).

The energy comes out at -44.5 eV/cell. The calculation puts the formation enthalpy at 0 K at 0.03 eV per atom.

Material: CrIn4Si
Method: DFT, GGA-PBE
State: optimized geometry

The structure belongs to space group F-43m (No. 216); the cell edges are 8.430, 8.430 and 8.430 Å and the angles 90.00°, 90.00° and 90.00°. The distinct sites, in fractional coordinates, are Cr at (0.000, 0.000, 0.000), In at (0.125, 0.125, 0.625) and Si at (0.250, 0.250, 0.250).

The energy comes out at -87.8 eV/cell. The calculation puts the formation energy from raw total energies at 65.2 kJ per mole of atoms.

Material: Tb2HgPd8
Method: DFT, GGA-PBE
State: optimized geometry

The structure belongs to space group C2/m (No. 12); the cell edges are 14.704, 4.245 and 6.602 Å and the angles 90.00°, 107.49° and 90.00°. The distinct sites, in fractional coordinates, are Tb at (0.216, 0.000, 0.166), Hg at (0.000, 0.500, 0.500), Pd at (0.036, 0.000, 0.222), Pd at (0.091, 0.500, 0.947), Pd at (0.144, 0.000, 0.684) and Pd at (0.172, 0.500, 0.401).

The energy comes out at -113.9 eV/cell. The calculation puts the formation enthalpy at 0 K at -0.53 eV per atom.

Material: Ba2GaBiPd6
Method: DFT, GGA-PBE
State: optimized geometry

The structure belongs to space group C2/m (No. 12); the cell edges are 12.570, 5.815 and 8.731 Å and the angles 90.00°, 130.55° and 90.00°. The distinct sites, in fractional coordinates, are Ba at (0.243, 0.000, 0.284), Ga at (0.000, 0.500, 0.000), Bi at (0.000, 0.000, 0.500), Pd at (0.026, 0.259, 0.784) and Pd at (0.244, 0.500, 0.106).

The energy comes out at -94.6 eV/cell. The calculation puts the formation enthalpy at 0 K at -0.54 eV per atom.

Material: YNi2Mo
Method: DFT, GGA-PBE
State: optimized geometry

The structure belongs to space group Cm (No. 8); the cell edges are 8.679, 3.071 and 5.101 Å and the angles 90.00°, 101.94° and 90.00°. The distinct sites, in fractional coordinates, are Y at (0.000, 0.000, 0.000), Ni at (0.260, 0.500, 0.262), Ni at (0.493, 0.000, 0.497) and Mo at (0.227, 0.000, 0.627).

The energy comes out at -56.6 eV/cell. The calculation puts the formation enthalpy at 0 K at 0.14 eV per atom.

Material: Li2MgTi3O8
Method: DFT, GGA-PBE
State: optimized geometry

The structure belongs to space group P2_13 (No. 198); the cell edges are 8.455, 8.455 and 8.455 Å and the angles 90.00°, 90.00° and 90.00°. The distinct sites, in fractional coordinates, are Li at (0.002, 0.498, 0.502), Li at (0.124, 0.876, 0.376), Mg at (0.248, 0.748, 0.752), Ti at (0.121, 0.627, 0.133), O at (0.106, 0.129, 0.389), O at (0.113, 0.613, 0.887), O at (0.122, 0.146, 0.858) and O at (0.138, 0.362, 0.638).

The energy comes out at -434.1 eV/cell. The calculation puts the formation energy from raw total energies at -274.0 kJ per mole of atoms.

Please write out number 11 again, unchanged.
Material: YNi2Mo
Method: DFT, GGA-PBE
State: optimized geometry

The structure belongs to space group Cm (No. 8); the cell edges are 8.679, 3.071 and 5.101 Å and the angles 90.00°, 101.94° and 90.00°. The distinct sites, in fractional coordinates, are Y at (0.000, 0.000, 0.000), Ni at (0.260, 0.500, 0.262), Ni at (0.493, 0.000, 0.497) and Mo at (0.227, 0.000, 0.627).

The energy comes out at -56.6 eV/cell. The calculation puts the formation enthalpy at 0 K at 0.14 eV per atom.

- What is the energy in the seventh record?
  -44.5 eV/cell

- What is the energy in the eleventh record?
  -56.6 eV/cell

- Look up the energy of the second one.
  -17.9 eV/cell